# SrPm4Sm (GGA-PBE, relaxed)
data_SrPm4Sm
_space_group_name_H-M_alt 'F -4 3 m'
_space_group_IT_number 216
_space_group_name_Hall 'F -4 2 3'
_cell_length_a 9.726
_cell_length_b 9.726
_cell_length_c 9.726
_cell_angle_alpha 90.00
_cell_angle_beta 90.00
_cell_angle_gamma 90.00
loop_
_atom_site_label
_atom_site_fract_x
_atom_site_fract_y
_atom_site_fract_z
Sr1 0.000 0.000 0.000
Pm1 0.122 0.122 0.378
Sm1 0.250 0.250 0.750
# - formation energy (eV/atom) = 0.233
# - volume (Å³ per cell) = 920
# - total magnetization (μB/f.u.) = 0.0